Record 1
# CoAs3

CoAs3 after structural relaxation (PBE, Alexandria via LeMat-Bulk).

Cell: 4.5387 4.5387 3.2733 Å, 90.00 90.00 104.06°
Atoms (fractional coordinates):
1 Co 0.0000 0.0000 0.0000
2 As 0.0000 0.5000 0.5000
3 As 0.5000 0.0000 0.5000
4 As 0.5000 0.5000 0.0000

Results
ΔE to the lowest computed polymorph = 749 meV/atom
ΔE_f = 441 meV/atom
Space group = Cmmm, No. 65
Fermi-level density of states = 3.08 states/eV/cell

=====

Record 2
# Cr2CoAs8

Cr2CoAs8 after structural relaxation (PBE, Alexandria via LeMat-Bulk).

Cell: 6.9633 6.9633 4.6932 Å, 92.64 92.64 71.44°
Atoms (fractional coordinates):
1 Cr 0.1093 0.1093 0.2123
2 Cr 0.8907 0.8907 0.7877
3 Co 0.5000 0.5000 0.0000
4 As 0.1097 0.1097 0.7268
5 As 0.2226 0.6172 0.6760
6 As 0.3306 0.3306 0.2939
7 As 0.3828 0.7774 0.3240
8 As 0.6172 0.2226 0.6760
9 As 0.6694 0.6694 0.7061
10 As 0.7774 0.3828 0.3240
11 As 0.8903 0.8903 0.2732

Results
ΔE_f = 31 meV/atom
Space group = C2/m, No. 12
Fermi-level density of states = 3.22 states/eV/cell

=====

Record 3
# Cr3CoAs

Cr3CoAs after structural relaxation (PBE, Alexandria via LeMat-Bulk).

Cell: 4.5728 4.5728 4.5728 Å, 90.00 90.00 90.00°
Atoms (fractional coordinates):
1 Cr 0.0000 0.0000 0.5000
2 Cr 0.0000 0.5000 0.0000
3 Cr 0.5000 0.0000 0.0000
4 Co 0.5000 0.5000 0.5000
5 As 0.0000 0.0000 0.0000

Results
ΔE to the lowest computed polymorph = 234 meV/atom
ΔE_f = 1236 meV/atom
Space group = Pm-3m, No. 221
Fermi-level density of states = 1.98 states/eV/cell

=====

Record 4
# CrCoAs2

CrCoAs2 after structural relaxation (PBE, Alexandria via LeMat-Bulk).

Cell: 4.2175 4.2175 4.2175 Å, 60.00 60.00 60.00°
Atoms (fractional coordinates):
1 Cr 0.0000 0.0000 0.0000
2 Co 0.5000 0.5000 0.5000
3 As 0.2500 0.2500 0.2500
4 As 0.7500 0.7500 0.7500

Results
ΔE to the lowest computed polymorph = 184 meV/atom
ΔE_f = 127 meV/atom
Space group = Fm-3m, No. 225
Fermi-level density of states = 2.39 states/eV/cell

=====

Record 5
# CrCo2As

CrCo2As after structural relaxation (PBE, Alexandria via LeMat-Bulk).

Cell: 4.2744 4.2744 4.3757 Å, 98.58 98.58 36.52°
Atoms (fractional coordinates):
1 Cr 0.0000 0.0000 0.0000
2 Co 0.4917 0.4917 0.4746
3 Co 0.7434 0.7434 0.1902
4 As 0.2388 0.2388 0.6803

Results
ΔE_f = 108 meV/atom
Space group = Cm, No. 8
Fermi-level density of states = 4.65 states/eV/cell

=====

Record 6
# CrCo2As

CrCo2As after structural relaxation (PBE, Alexandria via LeMat-Bulk).

Cell: 8.6865 8.6865 8.6865 Å, 156.22 156.22 33.88°
Atoms (fractional coordinates):
1 Cr 0.0000 0.0000 0.0000
2 Cr 0.7500 0.2500 0.5000
3 Co 0.1356 0.6250 0.0106
4 Co 0.3750 0.3856 0.5106
5 Co 0.6144 0.1250 0.9894
6 Co 0.8750 0.8644 0.4894
7 As 0.2500 0.7500 0.5000
8 As 0.5000 0.5000 0.0000

Results
ΔE_f = 336 meV/atom
Space group = I-42d, No. 122
Fermi-level density of states = 14.48 states/eV/cell

=====

Record 7
# CrCo4As

CrCo4As after structural relaxation (PBE, Alexandria via LeMat-Bulk).

Cell: 4.7385 4.7385 4.7385 Å, 60.00 60.00 60.00°
Atoms (fractional coordinates):
1 Cr 0.0000 0.0000 0.0000
2 Co 0.3749 0.3749 0.3749
3 Co 0.3749 0.3749 0.8754
4 Co 0.3749 0.8754 0.3749
5 Co 0.8754 0.3749 0.3749
6 As 0.7500 0.7500 0.7500

Results
ΔE_f = 299 meV/atom
Space group = F-43m, No. 216
Fermi-level density of states = 9.03 states/eV/cell

=====

Record 8
# CrCo2As

CrCo2As after structural relaxation (PBE, Alexandria via LeMat-Bulk).

Cell: 7.9612 7.9612 7.9612 Å, 19.52 19.52 19.52°
Atoms (fractional coordinates):
1 Cr 0.0000 0.0000 0.0000
2 Co 0.4987 0.4987 0.4987
3 Co 0.7479 0.7479 0.7479
4 As 0.2466 0.2466 0.2466

Results
ΔE_f = 285 meV/atom
Space group = R3m, No. 160
Fermi-level density of states = 5.14 states/eV/cell